Entry 1:
This record from Alexandria describes SbPAuF2 at its PBEsol-relaxed geometry. The functional is meta-GGA SCAN.

Computed properties:
The total energy comes out at -25.133 eV per atom. The value obtained for the total moment is 0.00 μB/f.u. The uncorrected formation energy comes out at -354 meV/atom.

abc: 4.247 4.247 4.880
angles: 90.00 90.00 90.00
Space group P4/mmm (No. 123)
Inequivalent atoms, fractional coordinates:
Sb 0.000 0.000 0.000 (multiplicity 1)
P 0.500 0.500 0.000 (multiplicity 1)
Au 0.500 0.500 0.500 (multiplicity 1)
F 0.000 0.500 0.500 (multiplicity 2)


Entry 2:
This record from Alexandria describes PdRh2AuF at its PBEsol-relaxed geometry. The functional is meta-GGA SCAN.

Computed properties:
The total energy comes out at -34.109 eV per atom. The value obtained for the total moment is 2.49 μB/f.u. The uncorrected formation energy comes out at 494 meV/atom.

abc: 4.051 4.051 4.497
angles: 90.00 90.00 90.00
Space group P4/mmm (No. 123)
Inequivalent atoms, fractional coordinates:
Pd 0.000 0.000 0.000 (multiplicity 1)
Rh 0.000 0.500 0.500 (multiplicity 2)
Au 0.500 0.500 0.000 (multiplicity 1)
F 0.000 0.000 0.500 (multiplicity 1)


Entry 3:
This record from Alexandria describes PtAu2F at its PBEsol-relaxed geometry. The functional is meta-GGA SCAN.

Computed properties:
The total energy comes out at -53.052 eV per atom. The value obtained for the total moment is 0.01 μB/f.u. The uncorrected formation energy comes out at -40 meV/atom.

abc: 6.218 6.218 6.218
angles: 90.00 90.00 90.00
Space group Fm-3m (No. 225)
Inequivalent atoms, fractional coordinates:
Pt 0.000 0.000 0.000 (multiplicity 4)
Au 0.250 0.250 0.250 (multiplicity 8)
F 0.000 0.000 0.500 (multiplicity 4)


Entry 4:
This record from Alexandria describes RbAuF4 at its PBEsol-relaxed geometry. The functional is meta-GGA SCAN.

Computed properties:
The total energy comes out at -19.257 eV per atom. The value obtained for the total moment is 0.00 μB/f.u. The uncorrected formation energy comes out at -1914 meV/atom.

abc: 6.207 6.207 11.742
angles: 90.00 90.00 90.00
Space group I4/mcm (No. 140)
Inequivalent atoms, fractional coordinates:
Rb 0.000 0.000 0.250 (multiplicity 4)
Au 0.000 0.500 0.000 (multiplicity 4)
F 0.157 0.343 0.116 (multiplicity 16)


Entry 5:
This record from Alexandria describes Re2Au2F at its PBEsol-relaxed geometry. The functional is meta-GGA SCAN.

Computed properties:
The total energy comes out at -56.318 eV per atom. The value obtained for the total moment is 0.00 μB/f.u. The uncorrected formation energy comes out at 492 meV/atom.

abc: 3.519 3.519 13.812
angles: 90.00 90.00 90.00
Space group I4/mmm (No. 139)
Inequivalent atoms, fractional coordinates:
Re 0.000 0.500 0.250 (multiplicity 4)
Au 0.000 0.000 0.097 (multiplicity 4)
F 0.000 0.000 0.500 (multiplicity 2)


Entry 6:
This record from Alexandria describes RhAu2SeF at its PBEsol-relaxed geometry. The functional is meta-GGA SCAN.

Computed properties:
The total energy comes out at -38.577 eV per atom. The value obtained for the total moment is 1.45 μB/f.u. The uncorrected formation energy comes out at 564 meV/atom.

abc: 4.692 4.692 3.958
angles: 90.00 90.00 90.00
Space group P4/mmm (No. 123)
Inequivalent atoms, fractional coordinates:
Rh 0.000 0.000 0.000 (multiplicity 1)
Au 0.000 0.500 0.500 (multiplicity 2)
Se 0.500 0.500 0.000 (multiplicity 1)
F 0.000 0.000 0.500 (multiplicity 1)


- The highest total moment belongs to which entry?
  PdRh2AuF